Computed, not measured: La3VH3O8 after structural relaxation at the PBE with a Hubbard U level of DFT.

abc: 5.7518 10.8029 6.4008
angles: 90.00 104.46 90.00
Closest atoms and distances in Å follow each position.
Element x y z (fractional)
1 La 0.1884 0.0419 0.3026  7 O 2.38-2.63
2 La 0.1884 0.4581 0.3026  7 O 2.38-2.63
3 La 0.2780 0.2500 0.8006  8 O 2.49-2.64
4 La 0.7220 0.7500 0.1994  8 O 2.49-2.64
5 La 0.8116 0.5419 0.6974  7 O 2.38-2.63
6 La 0.8116 0.9581 0.6974  7 O 2.38-2.63
7 V 0.3061 0.7500 0.5317  1 O 1.75
8 V 0.6939 0.2500 0.4683  1 O 1.75
9 H 0.1215 0.7500 0.9092  1 O 0.98
10 H 0.3433 0.5421 0.9043  1 O 0.98
11 H 0.3433 0.9579 0.9043  1 O 0.98
12 H 0.6567 0.0421 0.0957  1 O 0.98
13 H 0.6567 0.4579 0.0957  1 O 0.98
14 H 0.8785 0.2500 0.0908  1 O 0.98
15 O 0.0395 0.6321 0.4582  1 V 1.96
16 O 0.0395 0.8679 0.4582  1 V 1.96
17 O 0.0502 0.2500 0.0944  1 H 0.98
18 O 0.2338 0.0212 0.9324  1 H 0.98
19 O 0.2338 0.4788 0.9324  1 H 0.98
20 O 0.4320 0.7500 0.8096  1 V 1.75
21 O 0.4899 0.6278 0.4081  1 V 1.98
22 O 0.4899 0.8722 0.4081  1 V 1.98
23 O 0.5101 0.1278 0.5919  1 V 1.98
24 O 0.5101 0.3722 0.5919  1 V 1.98
25 O 0.5680 0.2500 0.1904  1 V 1.75
26 O 0.7662 0.5212 0.0676  1 H 0.98
27 O 0.7662 0.9788 0.0676  1 H 0.98
28 O 0.9498 0.7500 0.9056  1 H 0.98
29 O 0.9605 0.1321 0.5418  1 V 1.96
30 O 0.9605 0.3679 0.5418  1 V 1.96

Calculated values
- final energy (Ry per atom) = -0.5388
- M_tot (μB/cell) = 2.00